Entry 1:
Below is a geometry-optimized Tl5SeS2 structure, with properties calculated at the GGA-PBE level.

Geometry as CIF:
```
data_Tl5SeS2
_chemical_formula_sum 'Tl20 Se4 S8'
_cell_length_a 5.694
_cell_length_b 14.648
_cell_length_c 15.073
_cell_angle_alpha 90.00
_cell_angle_beta 90.00
_cell_angle_gamma 90.00
_space_group_name_H-M_alt 'C m c m'
_space_group_IT_number 63
_space_group_name_Hall '-C 2c 2'
loop_
_atom_site_label
_atom_site_type_symbol
_atom_site_fract_x
_atom_site_fract_y
_atom_site_fract_z
_atom_site_occupancy
Tl1 Tl 0.000 0.050 0.129 1
Tl2 Tl 0.000 0.175 0.750 1
Tl3 Tl 0.000 0.314 0.065 1
Se1 Se 0.000 0.229 0.250 1
S1 S 0.000 0.144 0.535 1
```

**Formation energy (no corrections)**: -213 meV/atom
**M_tot**: 0.0 μB/cell
**Total DFT energy (no corrections)**: -3.159 eV per atom

---

Entry 2:
Below is a geometry-optimized TlSeS structure, with properties calculated at the GGA-PBE level.

Geometry as CIF:
```
data_TlSeS
_chemical_formula_sum 'Tl2 Se2 S2'
_cell_length_a 4.574
_cell_length_b 6.315
_cell_length_c 6.518
_cell_angle_alpha 68.66
_cell_angle_beta 78.58
_cell_angle_gamma 81.93
_space_group_name_H-M_alt 'P -1'
_space_group_IT_number 2
_space_group_name_Hall '-P 1'
loop_
_atom_site_label
_atom_site_type_symbol
_atom_site_fract_x
_atom_site_fract_y
_atom_site_fract_z
_atom_site_occupancy
Tl1 Tl 0.003 0.180 0.188 1
Se1 Se 0.424 0.596 0.207 1
S1 S 0.491 0.192 0.620 1
```

**Formation energy (no corrections)**: -109 meV/atom
**Offset from the most stable computed form**: 14 kJ/mol of formula units
**M_tot**: 0.0 μB/cell
**Total DFT energy (no corrections)**: -3.435 eV per atom

---

Question: Look up the total DFT energy (no corrections) of the second one.
Answer: -3.435 eV per atom

---

Question: Among the records above, which one has the lowest formation energy (no corrections)?
Answer: Tl5SeS2